ScP2N4: optimized geometry, PBE-GGA.

abc: 3.920 3.920 5.940
angles: 109.27 109.27 90.00
Site moments in Bohr magnetons follow the coordinates.
Element x y z (fractional)
Sc: 0.500 0.500 0.000  0.31
P: 0.250 0.750 0.500  0.01
P: 0.750 0.250 0.500  0.01
N: 0.411 0.908 0.319  0.00
N: 0.589 0.589 0.681  0.00
N: 0.908 0.411 0.319  0.00
N: 0.092 0.092 0.681  0.00



ScP2N: optimized geometry, PBE-GGA.

abc: 5.733 5.733 5.441
angles: 58.21 58.21 90.00
Element x y z (fractional)
Sc: 0.000 0.000 0.000
Sc: 0.750 0.250 0.500
P: 0.523 0.125 0.250
P: 0.227 0.625 0.250
P: 0.375 0.477 0.750
P: 0.875 0.773 0.750
N: 0.500 0.500 0.000
N: 0.250 0.750 0.500



Sc2PN: optimized geometry, PBE-GGA.

## Properties
- E above lowest polymorph (meV per atom) = 0.0

abc: 6.113 6.113 5.640
angles: 57.18 57.18 90.00
Element x y z (fractional)
Sc: 0.558 0.125 0.250
Sc: 0.192 0.625 0.250
Sc: 0.375 0.442 0.750
Sc: 0.875 0.808 0.750
P: 0.000 0.000 0.000
P: 0.750 0.250 0.500
N: 0.500 0.500 0.000
N: 0.250 0.750 0.500



ScPSeN2: optimized geometry, PBE-GGA.

## Properties
- E above lowest polymorph (meV per atom) = 0.0

abc: 3.642 3.642 4.944
angles: 90.00 90.00 90.00
Element x y z (fractional)
Sc: 0.500 0.500 0.500
P: 0.000 0.000 0.000
Se: 0.000 0.000 0.500
N: 0.000 0.500 0.000
N: 0.500 0.000 0.000



Sequential energy output: -7.66, -6.37, -7.95, -6.12 eV per atom